(1)
VASP calculation (PBE) on crystalline Ca2YCu2S4 at its relaxed geometry.

* total energy: -5.24 eV/atom

```
data_Ca2YCu2S4
_chemical_formula_sum 'Ca4 Y2 Cu4 S8'
_space_group_name_H-M_alt 'C 1 2/m 1'
_space_group_IT_number 12
_cell_length_a 14.307
_cell_length_b 3.740
_cell_length_c 7.142
_cell_angle_alpha 90.00
_cell_angle_beta 112.68
_cell_angle_gamma 90.00
loop_
_space_group_symop_operation_xyz
'x,y,z'
'-x,-y,-z'
'-x,y,-z'
'x,-y,z'
'x+1/2,y+1/2,z'
'-x+1/2,-y+1/2,-z'
'-x+1/2,y+1/2,-z'
'x+1/2,-y+1/2,z'
loop_
_atom_site_label
_atom_site_type_symbol
_atom_site_fract_x
_atom_site_fract_y
_atom_site_fract_z
Ca1 Ca 0.134 0.000 0.080
Y1 Y 0.000 0.000 0.500
Cu1 Cu 0.187 0.500 0.523
S1 S 0.031 0.500 0.245
S2 S 0.204 0.000 0.743
```



(2)
VASP calculation (PBE) on crystalline CrHgP at its relaxed geometry.

* ΔE to the lowest computed polymorph: 0.0672 eV/atom
* energy relative to the elements: -0.009 eV per atom

```
data_CrHgP
_chemical_formula_sum 'Cr2 Hg2 P2'
_space_group_name_H-M_alt 'P 1 21/m 1'
_space_group_IT_number 11
_cell_length_a 3.351
_cell_length_b 5.795
_cell_length_c 6.209
_cell_angle_alpha 90.00
_cell_angle_beta 105.80
_cell_angle_gamma 90.00
loop_
_space_group_symop_operation_xyz
'x,y,z'
'-x,-y,-z'
'-x,y+1/2,-z'
'x,-y+1/2,z'
loop_
_atom_site_label
_atom_site_type_symbol
_atom_site_fract_x
_atom_site_fract_y
_atom_site_fract_z
Cr1 Cr 0.000 0.000 0.000
Hg1 Hg 0.202 0.250 0.404
P1 P 0.420 0.250 0.841
```



(3)
VASP calculation (PBE) on crystalline Mg4H2Ir at its relaxed geometry.

* ΔE to the lowest computed polymorph: 0.0371 eV/atom

```
data_Mg4H2Ir
_chemical_formula_sum 'Mg4 H2 Ir1'
_space_group_name_H-M_alt 'P 1'
_space_group_IT_number 1
_cell_length_a 4.685
_cell_length_b 4.686
_cell_length_c 5.772
_cell_angle_alpha 91.76
_cell_angle_beta 91.74
_cell_angle_gamma 118.89
loop_
_space_group_symop_operation_xyz
'x,y,z'
loop_
_atom_site_label
_atom_site_type_symbol
_atom_site_fract_x
_atom_site_fract_y
_atom_site_fract_z
Mg1 Mg 0.000 0.000 0.000
Mg2 Mg 0.019 0.019 0.481
Mg3 Mg 0.348 0.672 0.741
Mg4 Mg 0.659 0.361 0.240
H1 H 0.048 0.464 0.028
H2 H 0.555 0.973 0.455
Ir1 Ir 0.324 0.696 0.241
```



(4)
VASP calculation (PBE) on crystalline KGaPb at its relaxed geometry.

* energy relative to the elements: -0.040 eV per atom

```
data_KGaPb
_chemical_formula_sum 'K4 Ga4 Pb4'
_space_group_name_H-M_alt 'C m c m'
_space_group_IT_number 63
_space_group_name_Hall '-C 2c 2'
_cell_length_a 5.348
_cell_length_b 13.036
_cell_length_c 5.861
_cell_angle_alpha 90.00
_cell_angle_beta 90.00
_cell_angle_gamma 90.00
loop_
_atom_site_label
_atom_site_type_symbol
_atom_site_fract_x
_atom_site_fract_y
_atom_site_fract_z
K1 K 0.000 0.226 0.250
Ga1 Ga 0.000 0.500 0.000
Pb1 Pb 0.000 0.059 0.750
```



(5)
VASP calculation (PBE) on crystalline BaSiAg3 at its relaxed geometry.

* ΔE to the lowest computed polymorph: 1.6180 eV/atom

```
data_BaSiAg3
_chemical_formula_sum 'Ba1 Si1 Ag3'
_space_group_name_H-M_alt 'P m -3 m'
_space_group_IT_number 221
_space_group_name_Hall '-P 4 2 3'
_cell_length_a 5.958
_cell_length_b 5.958
_cell_length_c 5.958
_cell_angle_alpha 90.00
_cell_angle_beta 90.00
_cell_angle_gamma 90.00
loop_
_atom_site_label
_atom_site_type_symbol
_atom_site_fract_x
_atom_site_fract_y
_atom_site_fract_z
Ba1 Ba 0.000 0.000 0.000
Si1 Si 0.500 0.500 0.500
Ag1 Ag 0.000 0.000 0.500
```



(6)
VASP calculation (PBE) on crystalline CsMgAsSe2 at its relaxed geometry.

* ΔE to the lowest computed polymorph: 0.0000 eV/atom

```
data_CsMgAsSe2
_chemical_formula_sum 'Cs1 Mg1 As1 Se2'
_space_group_name_H-M_alt 'P 4/m m m'
_space_group_IT_number 123
_space_group_name_Hall '-P 4 2'
_cell_length_a 5.354
_cell_length_b 5.354
_cell_length_c 5.172
_cell_angle_alpha 90.00
_cell_angle_beta 90.00
_cell_angle_gamma 90.00
loop_
_atom_site_label
_atom_site_type_symbol
_atom_site_fract_x
_atom_site_fract_y
_atom_site_fract_z
Cs1 Cs 0.000 0.000 0.000
Mg1 Mg 0.500 0.500 0.500
As1 As 0.500 0.500 0.000
Se1 Se 0.000 0.500 0.500
```



(7)
VASP calculation (PBE) on crystalline Tb6Ho8Mg at its relaxed geometry.

* ΔE to the lowest computed polymorph: 0.1479 eV/atom
* energy relative to the elements: 0.245 eV per atom

```
data_Tb6Ho8Mg
_chemical_formula_sum 'Tb6 Ho8 Mg1'
_space_group_name_H-M_alt 'P -3'
_space_group_IT_number 147
_cell_length_a 9.2399
_cell_length_b 9.2399
_cell_length_c 6.6125
_cell_angle_alpha 90.00
_cell_angle_beta 90.00
_cell_angle_gamma 120.00
loop_
_space_group_symop_operation_xyz
'x,y,z'
'-x,-y,-z'
'-y,x-y,z'
'y,-x+y,-z'
'-x+y,-x,z'
'x-y,x,-z'
loop_
_atom_site_label
_atom_site_type_symbol
_atom_site_fract_x
_atom_site_fract_y
_atom_site_fract_z
Tb1 Tb 0.0853 0.6787 0.3953
Ho1 Ho 0.0140 0.3246 0.1109
Ho2 Ho 0.3333 0.6667 0.8334
Mg1 Mg 0.0000 0.0000 0.5000
```



(8)
VASP calculation (PBE) on crystalline BeTlAu2 at its relaxed geometry.

* ΔE to the lowest computed polymorph: 0.1857 eV/atom
* energy relative to the elements: 0.183 eV per atom

```
data_BeTlAu2
_chemical_formula_sum 'Be3 Tl3 Au6'
_space_group_name_H-M_alt 'R 3 m'
_space_group_IT_number 160
_space_group_name_Hall 'R 3 -2"'
_cell_length_a 3.3810
_cell_length_b 3.3810
_cell_length_c 23.4318
_cell_angle_alpha 90.00
_cell_angle_beta 90.00
_cell_angle_gamma 120.00
loop_
_atom_site_label
_atom_site_type_symbol
_atom_site_fract_x
_atom_site_fract_y
_atom_site_fract_z
Be1 Be 0.0000 0.0000 0.0000
Tl1 Tl 0.0000 0.0000 0.2435
Au1 Au 0.0000 0.0000 0.4776
Au2 Au 0.0000 0.0000 0.7193
```



(9)
VASP calculation (PBE) on crystalline La2Nd2Dy at its relaxed geometry.

* ΔE to the lowest computed polymorph: 0.0435 eV/atom
* energy relative to the elements: 0.066 eV per atom

```
data_La2Nd2Dy
_chemical_formula_sum 'La2 Nd2 Dy1'
_space_group_name_H-M_alt 'P 1 2/m 1'
_space_group_IT_number 10
_cell_length_a 5.511
_cell_length_b 3.565
_cell_length_c 9.316
_cell_angle_alpha 90.00
_cell_angle_beta 107.10
_cell_angle_gamma 90.00
loop_
_space_group_symop_operation_xyz
'x,y,z'
'-x,-y,-z'
'-x,y,-z'
'x,-y,z'
loop_
_atom_site_label
_atom_site_type_symbol
_atom_site_fract_x
_atom_site_fract_y
_atom_site_fract_z
La1 La 0.197 0.000 0.393
Nd1 Nd 0.400 0.500 0.800
Dy1 Dy 0.000 0.000 0.000
```



(10)
VASP calculation (PBE) on crystalline NaSnBF6 at its relaxed geometry.

* total energy: -5.26 eV/atom

```
data_NaSnBF6
_chemical_formula_sum 'Na1 Sn1 B1 F6'
_space_group_name_H-M_alt 'P 1'
_space_group_IT_number 1
_cell_length_a 5.017
_cell_length_b 5.035
_cell_length_c 5.994
_cell_angle_alpha 66.31
_cell_angle_beta 79.47
_cell_angle_gamma 88.33
loop_
_space_group_symop_operation_xyz
'x,y,z'
loop_
_atom_site_label
_atom_site_type_symbol
_atom_site_fract_x
_atom_site_fract_y
_atom_site_fract_z
Na1 Na 0.000 0.000 0.000
Sn1 Sn 0.574 0.625 0.736
B1 B 0.116 0.377 0.364
F1 F 0.042 0.148 0.309
F2 F 0.209 0.270 0.590
F3 F 0.323 0.566 0.173
F4 F 0.587 0.179 0.912
F5 F 0.885 0.549 0.381
F6 F 0.930 0.649 0.856
```



(11)
VASP calculation (PBE) on crystalline PaTlAu at its relaxed geometry.

* ΔE to the lowest computed polymorph: 0.0000 eV/atom
* energy relative to the elements: -0.073 eV per atom

```
data_PaTlAu
_chemical_formula_sum 'Pa1 Tl1 Au1'
_space_group_name_H-M_alt 'P 3 m 1'
_space_group_IT_number 156
_cell_length_a 4.9873
_cell_length_b 4.9873
_cell_length_c 3.2426
_cell_angle_alpha 90.00
_cell_angle_beta 90.00
_cell_angle_gamma 120.00
loop_
_space_group_symop_operation_xyz
'x,y,z'
'-y,x-y,z'
'-x+y,-x,z'
'-y,-x,z'
'-x+y,y,z'
'x,x-y,z'
loop_
_atom_site_label
_atom_site_type_symbol
_atom_site_fract_x
_atom_site_fract_y
_atom_site_fract_z
Pa1 Pa 0.0000 0.0000 0.0000
Tl1 Tl 0.6667 0.3333 0.5014
Au1 Au 0.3333 0.6667 0.4975
```



(12)
VASP calculation (PBE) on crystalline PaNi3Ge3 at its relaxed geometry.

* ΔE to the lowest computed polymorph: 0.1655 eV/atom
* energy relative to the elements: -0.009 eV per atom

```
data_PaNi3Ge3
_chemical_formula_sum 'Pa2 Ni6 Ge6'
_space_group_name_H-M_alt 'P m -3 n'
_space_group_IT_number 223
_space_group_name_Hall '-P 4n 2 3'
_cell_length_a 6.351
_cell_length_b 6.351
_cell_length_c 6.351
_cell_angle_alpha 90.00
_cell_angle_beta 90.00
_cell_angle_gamma 90.00
loop_
_atom_site_label
_atom_site_type_symbol
_atom_site_fract_x
_atom_site_fract_y
_atom_site_fract_z
Pa1 Pa 0.000 0.000 0.000
Ni1 Ni 0.000 0.250 0.500
Ge1 Ge 0.000 0.500 0.250
```



Number 1: DOS(E_F) 0.2983 states/eV/atom, M_tot 0.0000 μB/atom, volume 353 Å³ per cell. Number 2: DOS(E_F) 0.4453 states/eV/atom, M_tot 0.9651 μB/atom, volume 116 Å³ per cell. Number 3: DOS(E_F) 0.1825 states/eV/atom, M_tot 0.0000 μB/atom, volume 111 Å³ per cell. Number 4: DOS(E_F) 0.5728 states/eV/atom, M_tot 0.0000 μB/atom, volume 409 Å³ per cell. Number 5: DOS(E_F) 0.6669 states/eV/atom, M_tot 0.1696 μB/atom, volume 211 Å³ per cell. Number 6: DOS(E_F) 1.0587 states/eV/atom, M_tot 0.0001 μB/atom, volume 148 Å³ per cell. Number 7: DOS(E_F) 1.3773 states/eV/atom, M_tot 0.0000 μB/atom, volume 489 Å³ per cell. Number 8: DOS(E_F) 0.3398 states/eV/atom, M_tot 0.0000 μB/atom, volume 232 Å³ per cell. Number 9: DOS(E_F) 1.7059 states/eV/atom, M_tot 0.0000 μB/atom, volume 175 Å³ per cell. Number 10: DOS(E_F) 0.0000 states/eV/atom, M_tot 0.0000 μB/atom, volume 136 Å³ per cell. Number 11: DOS(E_F) 1.7206 states/eV/atom, M_tot 0.2475 μB/atom, volume 70 Å³ per cell. Number 12: DOS(E_F) 1.0633 states/eV/atom, M_tot 0.2128 μB/atom, volume 256 Å³ per cell.